# Na3LaGe

A relaxed structure of Na3LaGe (GGA-PBE, Alexandria via LeMat-Bulk).

Geometry as extended XYZ:
```
5
Lattice="-1.4711 3.4689 4.2910 3.9130 -2.4752 3.3425 3.8903 3.8014 -1.7393" Properties=species:S:1:pos:R:3 pbc="T T T"
La 0.0000 0.0000 0.0000
Na 1.9452 1.9007 -0.8697
Na -0.7356 1.7344 2.1455
Na 1.9565 -1.2376 1.6712
Ge 3.1661 2.3975 2.9471
```

Formation energy in meV per atom: 1323
Mass density in g cm⁻³: 2.50
N(E_F) in states/eV/f.u.: 4.23
Energy in eV/atom: -1.378
Total magnetization in μB per formula unit: 1.98
Space-group type: No. 221


# GeHCl3

A relaxed structure of GeHCl3 (GGA-PBE, Alexandria via LeMat-Bulk).

Geometry as extended XYZ:
```
5
Lattice="-3.8197 -1.0736 1.9652 2.2355 -1.5995 3.4712 -0.1318 3.9868 1.9219" Properties=species:S:1:pos:R:3 pbc="T T T"
H 0.0000 0.0000 0.0000
Cl -0.0659 1.9934 0.9609
Cl -1.9099 -0.5368 0.9826
Cl 1.1178 -0.7997 1.7356
Ge -0.8580 0.6568 3.6792
```

Mass density in g cm⁻³: 3.44
N(E_F) in states/eV/f.u.: 0.73
Energy in eV/atom: -2.545
Distance to the lowest polymorph of the same formula in eV per atom: 0.642
Total magnetization in μB per formula unit: 0.00
Space-group type: No. 221


# LaMn2Ge2N

A relaxed structure of LaMn2Ge2N (GGA-PBE, Alexandria via LeMat-Bulk).

Geometry as extended XYZ:
```
6
Lattice="4.1114 0.0000 0.0000 0.0000 4.1114 0.0000 0.0000 0.0000 5.5890" Properties=species:S:1:pos:R:3 pbc="T T T"
N 0.0000 0.0000 0.0000
Mn 2.0557 0.0000 0.0000
Mn 0.0000 2.0557 0.0000
La 0.0000 0.0000 2.7945
Ge 2.0557 2.0557 4.0568
Ge 2.0557 2.0557 1.5322
```

Energy relative to the elements, uncorrected in eV per atom: -0.53
Mass density in g cm⁻³: 7.17
N(E_F) in states/eV/f.u.: 3.58
Energy in eV/atom: -7.330
Total magnetization in μB per formula unit: 5.68
Space-group type: No. 123